A geometry-optimized TaW3O structure, computed with PBE with a Hubbard U.

Lattice parameters (Å, degrees): 4.975 4.975 4.975 90.00 90.00 90.00
Last column: magnetic moment on the atom in μB.
Element x y z (fractional)
O  0.500  0.500  0.500  0.68
W  0.000  0.500  0.000  1.31
W  0.000  0.000  0.500  1.33
W  0.500  0.000  0.000  1.45
Ta  0.000  0.000  0.000  -0.50

## Properties
Distance to the lowest polymorph of the same formula   11.70 eV per formula unit
Total energy   -24.087 eV per cell
Symmetry   Pm-3m
Size of the total moment   0.894 μB per atom